(1)
Entry from Alexandria: a relaxed structure of CoGe3Se (PBE-GGA).

a = 5.078 Å, b = 5.078 Å, c = 5.078 Å
α = 90.00°, β = 90.00°, γ = 90.00°
Last column: magnetic moment on the atom in μB.
Element x y z (fractional)
Se (0.000, 0.000, 0.000)  0.00
Ge (0.000, 0.500, 0.000)  -0.04
Ge (0.500, 0.000, 0.000)  -0.01
Ge (0.000, 0.000, 0.500)  0.01
Co (0.500, 0.500, 0.500)  2.11

Energy above the lowest structure with this stoichiometry in kJ/mol of formula units: 600
Symmetry: Pm-3m (221)
VASP energy in eV/cell: -18.18
M_tot in μB per cell: 2.08



(2)
Entry from Alexandria: a relaxed structure of CoGeSe2 (PBE-GGA).

a = 7.809 Å, b = 7.809 Å, c = 7.809 Å
α = 28.28°, β = 28.28°, γ = 28.28°
Last column: magnetic moment on the atom in μB.
Element x y z (fractional)
Ge (0.500, 0.500, 0.500)  -0.02
Se (0.100, 0.100, 0.100)  0.01
Co (0.000, 0.000, 0.000)  1.77
Se (0.900, 0.900, 0.900)  0.01

Symmetry: R-3m (166)
VASP energy in eV/cell: -17.62
M_tot in μB per cell: 1.76



(3)
Entry from Alexandria: a relaxed structure of CoGeSe2 (PBE-GGA).

a = 5.702 Å, b = 5.702 Å, c = 6.856 Å
α = 65.43°, β = 65.43°, γ = 90.00°
Element x y z (fractional)
Ge (0.750, 0.250, 0.500)
Se (0.178, 0.625, 0.250)
Co (0.250, 0.750, 0.500)
Se (0.572, 0.125, 0.250)
Se (0.375, 0.428, 0.750)
Se (0.875, 0.822, 0.750)
Co (0.500, 0.500, 0.000)
Ge (0.000, 0.000, 0.000)

Symmetry: I-42d (122)
VASP energy in eV/cell: -37.52
M_tot in μB per cell: 0.00



(4)
Entry from Alexandria: a relaxed structure of CoGeSe2 (PBE-GGA).

a = 8.433 Å, b = 8.433 Å, c = 8.433 Å
α = 23.32°, β = 23.32°, γ = 23.32°
Element x y z (fractional)
Co (0.500, 0.500, 0.500)
Ge (0.000, 0.000, 0.000)
Se (0.886, 0.886, 0.886)
Se (0.114, 0.114, 0.114)

Symmetry: R-3m (166)
VASP energy in eV/cell: -18.96
M_tot in μB per cell: 0.00



(5)
Entry from Alexandria: a relaxed structure of CoGeSe4 (PBE-GGA).

a = 6.989 Å, b = 6.989 Å, c = 6.989 Å
α = 106.28°, β = 106.28°, γ = 116.07°
Last column: magnetic moment on the atom in μB.
Element x y z (fractional)
Se (0.766, 0.081, 0.315)  0.04
Se (0.236, 0.544, 0.308)  0.03
Ge (0.748, 0.748, 0.000)  0.00
Co (0.999, 0.499, 0.500)  0.61
Co (0.249, 0.249, 0.000)  0.61
Se (0.678, 0.486, 0.192)  0.03
Se (0.294, 0.486, 0.808)  0.03
Se (0.201, 0.016, 0.185)  0.04
Ge (0.498, 0.998, 0.500)  0.00
Se (0.236, 0.928, 0.692)  0.03
Se (0.766, 0.451, 0.685)  0.04
Se (0.831, 0.016, 0.815)  0.04

Symmetry: I4_1md (109)
VASP energy in eV/cell: -51.36
M_tot in μB per cell: 1.68



(6)
Entry from Alexandria: a relaxed structure of CoGeSe3 (PBE-GGA).

a = 4.717 Å, b = 4.717 Å, c = 4.717 Å
α = 90.00°, β = 90.00°, γ = 90.00°
Last column: magnetic moment on the atom in μB.
Element x y z (fractional)
Co (0.000, 0.000, 0.000)  0.95
Ge (0.500, 0.500, 0.500)  -0.03
Se (0.000, 0.000, 0.500)  0.09
Se (0.500, 0.000, 0.000)  0.15
Se (0.000, 0.500, 0.000)  0.10

Symmetry: Pm-3m (221)
VASP energy in eV/cell: -20.51
M_tot in μB per cell: 1.43



(7)
Entry from Alexandria: a relaxed structure of Co3GeSe5 (PBE-GGA).

a = 3.605 Å, b = 5.790 Å, c = 14.557 Å
α = 88.96°, β = 90.00°, γ = 90.00°
Element x y z (fractional)
Co (0.000, 0.009, 0.336)
Se (0.000, 0.380, 0.403)
Co (0.000, 0.991, 0.664)
Se (0.000, 0.631, 0.929)
Se (0.500, 0.868, 0.097)
Se (0.500, 0.868, 0.426)
Co (0.000, 0.000, 0.000)
Co (0.500, 0.500, 0.836)
Co (0.500, 0.500, 0.500)
Se (0.500, 0.141, 0.241)
Se (0.000, 0.620, 0.597)
Se (0.500, 0.132, 0.903)
Se (0.000, 0.369, 0.071)
Ge (0.000, 0.640, 0.260)
Co (0.500, 0.500, 0.164)
Ge (0.000, 0.360, 0.740)
Se (0.500, 0.859, 0.759)
Se (0.500, 0.132, 0.574)

Symmetry: P2/m (10)
VASP energy in eV/cell: -92.47
M_tot in μB per cell: 0.00



(8)
Entry from Alexandria: a relaxed structure of CoGe2Se (PBE-GGA).

a = 5.633 Å, b = 5.633 Å, c = 6.845 Å
α = 65.70°, β = 65.70°, γ = 90.00°
Element x y z (fractional)
Se (0.000, 0.000, 0.000)
Co (0.500, 0.500, 0.000)
Ge (0.183, 0.625, 0.250)
Ge (0.875, 0.817, 0.750)
Ge (0.375, 0.433, 0.750)
Se (0.750, 0.250, 0.500)
Co (0.250, 0.750, 0.500)
Ge (0.567, 0.125, 0.250)

Symmetry: I-42d (122)
VASP energy in eV/cell: -38.49
M_tot in μB per cell: 0.00



(9)
Entry from Alexandria: a relaxed structure of CoGeSe3 (PBE-GGA).

a = 4.963 Å, b = 4.963 Å, c = 4.963 Å
α = 90.00°, β = 90.00°, γ = 90.00°
Last column: magnetic moment on the atom in μB.
Element x y z (fractional)
Co (0.500, 0.500, 0.500)  2.32
Ge (0.000, 0.000, 0.000)  -0.01
Se (0.000, 0.500, 0.000)  0.15
Se (0.500, 0.000, 0.000)  0.09
Se (0.000, 0.000, 0.500)  0.11

Symmetry: Pm-3m (221)
VASP energy in eV/cell: -17.83
M_tot in μB per cell: 2.89



(10)
Entry from Alexandria: a relaxed structure of Co2Ge3Se3 (PBE-GGA).

a = 8.354 Å, b = 8.354 Å, c = 8.354 Å
α = 89.95°, β = 89.95°, γ = 89.95°
Element x y z (fractional)
Ge (0.000, 0.672, 0.158)
Se (0.845, 0.352, 0.500)
Se (0.996, 0.654, 0.852)
Ge (0.672, 0.158, 0.000)
Ge (0.658, 0.498, 0.827)
Ge (0.328, 0.842, 0.000)
Ge (0.827, 0.658, 0.498)
Co (0.247, 0.748, 0.748)
Se (0.004, 0.346, 0.148)
Ge (0.502, 0.173, 0.342)
Ge (0.000, 0.328, 0.842)
Se (0.155, 0.648, 0.500)
Co (0.748, 0.247, 0.748)
Se (0.346, 0.148, 0.004)
Se (0.352, 0.500, 0.845)
Se (0.654, 0.852, 0.996)
Ge (0.342, 0.502, 0.173)
Ge (0.842, 0.000, 0.328)
Co (0.252, 0.252, 0.753)
Co (0.751, 0.751, 0.751)
Co (0.252, 0.753, 0.252)
Co (0.753, 0.252, 0.252)
Ge (0.498, 0.827, 0.658)
Ge (0.158, 0.000, 0.672)
Co (0.748, 0.748, 0.247)
Se (0.648, 0.500, 0.155)
Co (0.249, 0.249, 0.249)
Se (0.500, 0.845, 0.352)
Ge (0.173, 0.342, 0.502)
Se (0.148, 0.004, 0.346)
Se (0.852, 0.996, 0.654)
Se (0.500, 0.155, 0.648)

Symmetry: R-3 (148)
VASP energy in eV/cell: -165.50
M_tot in μB per cell: 0.00



(11)
Entry from Alexandria: a relaxed structure of CoGe3Se (PBE-GGA).

a = 4.573 Å, b = 4.573 Å, c = 4.573 Å
α = 90.00°, β = 90.00°, γ = 90.00°
Element x y z (fractional)
Ge (0.000, 0.500, 0.000)
Se (0.500, 0.500, 0.500)
Co (0.000, 0.000, 0.000)
Ge (0.500, 0.000, 0.000)
Ge (0.000, 0.000, 0.500)

Energy above the lowest structure with this stoichiometry in kJ/mol of formula units: 0
Symmetry: Pm-3m (221)
VASP energy in eV/cell: -24.40
M_tot in μB per cell: 0.00



(12)
Entry from Alexandria: a relaxed structure of CoSn2GeSe (PBE-GGA).

a = 5.011 Å, b = 5.011 Å, c = 4.430 Å
α = 90.00°, β = 90.00°, γ = 90.00°
Element x y z (fractional)
Ge (0.000, 0.000, 0.500)
Sn (0.500, 0.000, 0.000)
Se (0.500, 0.500, 0.500)
Sn (0.000, 0.500, 0.000)
Co (0.000, 0.000, 0.000)

Symmetry: P4/mmm (123)
VASP energy in eV/cell: -23.68
M_tot in μB per cell: 0.00



Question: Which of these has the lowest VASP energy?
Answer: Co2Ge3Se3



Question: Among the records above, which one has the highest VASP energy?
Answer: number 2



Question: Look up the M_tot of the eleventh one.
Answer: 0.00 μB per cell